Entry from the Alexandria database: SiTc2P after structural relaxation (PBE).

Geometry as extended XYZ:
```
4
Lattice="-1.554 1.574 5.786 1.554 -1.574 5.786 1.554 1.574 -5.786" Properties=species:S:1:pos:R:3 pbc="T T T"
Si 0.000 0.000 0.000
Tc 1.554 0.000 3.860
Tc 0.000 0.000 6.827
P 0.000 1.574 2.870
```

## Properties
Magnetization ... 0.0 μB per cell
D(E_F) ... 1.9 states/eV/f.u.
Energy above the most stable polymorph in this dataset ... 0.0 kJ per mole of atoms
Space-group type ... Imm2, No. 44
Formation energy (no corrections) ... -2.0 eV per formula unit